This record from the Alexandria database describes a geometry-optimized Th8Te3Ir3Se structure. The functional is PBE.

```
data_Th8Te3Ir3Se
_chemical_formula_sum 'Th8 Te3 Ir3 Se1'
_symmetry_space_group_name_H-M 'P 1'
_symmetry_Int_Tables_number 1
_cell_length_a 8.531
_cell_length_b 8.533
_cell_length_c 8.811
_cell_angle_alpha 118.97
_cell_angle_beta 90.00
_cell_angle_gamma 119.99
loop_
_symmetry_equiv_pos_as_xyz
'x,y,z'
loop_
_atom_site_label
_atom_site_fract_x
_atom_site_fract_y
_atom_site_fract_z
Te1 0.000 0.500 0.000
Ir1 0.500 0.500 0.500
Ir2 0.500 0.000 0.500
Th1 0.719 0.969 0.718
Te2 0.500 0.500 0.000
Se1 0.000 0.000 0.500
Th2 0.266 0.531 0.298
Th3 0.750 0.500 0.282
Te3 0.000 0.000 0.000
Th4 0.281 0.031 0.282
Th5 0.250 0.500 0.718
Ir3 0.000 0.500 0.500
Th6 0.750 0.031 0.282
Th7 0.250 0.969 0.718
Th8 0.734 0.469 0.702
```

The uncorrected formation energy is -1.009 eV/atom. The value obtained for the calculated volume is 460.5 Å³/cell.

This record from the Alexandria database describes a geometry-optimized Tm4TeIrSe2 structure. The functional is PBE.

```
data_Tm4TeIrSe2
_chemical_formula_sum 'Tm4 Te1 Ir1 Se2'
_symmetry_space_group_name_H-M 'P 1'
_symmetry_Int_Tables_number 1
_cell_length_a 4.029
_cell_length_b 7.273
_cell_length_c 7.253
_cell_angle_alpha 71.59
_cell_angle_beta 90.00
_cell_angle_gamma 90.00
loop_
_symmetry_equiv_pos_as_xyz
'x,y,z'
loop_
_atom_site_label
_atom_site_fract_x
_atom_site_fract_y
_atom_site_fract_z
Te1 0.500 0.500 0.000
Se1 0.000 0.000 0.000
Ir1 0.000 0.500 0.500
Tm1 0.000 0.747 0.718
Tm2 0.500 0.729 0.285
Tm3 0.000 0.253 0.282
Tm4 0.500 0.271 0.715
Se2 0.500 0.000 0.500
```

The uncorrected formation energy is -1.343 eV/atom. The value obtained for the calculated volume is 201.7 Å³/cell.

This record from the Alexandria database describes a geometry-optimized Tm4Te2IrSe structure. The functional is PBE.

```
data_Tm4Te2IrSe
_chemical_formula_sum 'Tm4 Te2 Ir1 Se1'
_symmetry_space_group_name_H-M 'P 1'
_symmetry_Int_Tables_number 1
_cell_length_a 4.096
_cell_length_b 7.401
_cell_length_c 7.358
_cell_angle_alpha 71.59
_cell_angle_beta 90.00
_cell_angle_gamma 90.00
loop_
_symmetry_equiv_pos_as_xyz
'x,y,z'
loop_
_atom_site_label
_atom_site_fract_x
_atom_site_fract_y
_atom_site_fract_z
Tm1 0.500 0.704 0.284
Se1 0.500 0.500 0.000
Te1 0.000 0.000 0.000
Ir1 0.000 0.500 0.500
Tm2 0.000 0.284 0.257
Tm3 0.500 0.296 0.716
Tm4 0.000 0.716 0.743
Te2 0.500 0.000 0.500
```

The uncorrected formation energy is -1.286 eV/atom. The value obtained for the calculated volume is 211.7 Å³/cell.

This record from the Alexandria database describes a geometry-optimized TeIrW2Se structure. The functional is PBE.

```
data_TeIrW2Se
_chemical_formula_sum 'Te1 Ir1 W2 Se1'
_symmetry_space_group_name_H-M 'P 1'
_symmetry_Int_Tables_number 1
_cell_length_a 4.978
_cell_length_b 4.774
_cell_length_c 4.978
_cell_angle_alpha 90.00
_cell_angle_beta 90.00
_cell_angle_gamma 90.00
loop_
_symmetry_equiv_pos_as_xyz
'x,y,z'
loop_
_atom_site_label
_atom_site_fract_x
_atom_site_fract_y
_atom_site_fract_z
W1 0.000 0.000 0.500
Te1 0.000 0.000 0.000
W2 0.500 0.000 0.000
Ir1 0.000 0.500 0.000
Se1 0.500 0.500 0.500
```

The uncorrected formation energy is 2.359 eV/atom. The value obtained for the calculated volume is 118.3 Å³/cell.

This record from the Alexandria database describes a geometry-optimized Y6Te3Ir2Se structure. The functional is PBE.

```
data_Y6Te3Ir2Se
_chemical_formula_sum 'Y6 Te3 Ir2 Se1'
_symmetry_space_group_name_H-M 'P 1'
_symmetry_Int_Tables_number 1
_cell_length_a 4.168
_cell_length_b 8.674
_cell_length_c 9.647
_cell_angle_alpha 105.88
_cell_angle_beta 102.48
_cell_angle_gamma 90.00
loop_
_symmetry_equiv_pos_as_xyz
'x,y,z'
loop_
_atom_site_label
_atom_site_fract_x
_atom_site_fract_y
_atom_site_fract_z
Te1 0.500 0.500 0.000
Ir1 0.169 0.346 0.339
Te2 0.159 0.847 0.318
Te3 0.841 0.153 0.682
Y1 0.018 0.248 0.035
Ir2 0.831 0.654 0.661
Se1 0.500 0.000 0.000
Y2 0.326 0.432 0.651
Y3 0.668 0.132 0.337
Y4 0.332 0.868 0.663
Y5 0.674 0.568 0.349
Y6 0.982 0.752 0.965
```

The uncorrected formation energy is -1.254 eV/atom. The value obtained for the calculated volume is 326.9 Å³/cell.

This record from the Alexandria database describes a geometry-optimized Y4TeIrSe2 structure. The functional is PBE.

```
data_Y4TeIrSe2
_chemical_formula_sum 'Y4 Te1 Ir1 Se2'
_symmetry_space_group_name_H-M 'P 1'
_symmetry_Int_Tables_number 1
_cell_length_a 4.097
_cell_length_b 7.308
_cell_length_c 7.348
_cell_angle_alpha 71.45
_cell_angle_beta 90.00
_cell_angle_gamma 90.00
loop_
_symmetry_equiv_pos_as_xyz
'x,y,z'
loop_
_atom_site_label
_atom_site_fract_x
_atom_site_fract_y
_atom_site_fract_z
Y1 0.500 0.732 0.280
Te1 0.500 0.500 0.000
Y2 0.000 0.251 0.279
Ir1 0.000 0.500 0.500
Y3 0.500 0.268 0.720
Se1 0.500 0.000 0.500
Se2 0.000 0.000 0.000
Y4 0.000 0.749 0.721
```

The uncorrected formation energy is -1.390 eV/atom. The value obtained for the calculated volume is 208.6 Å³/cell.